SiTe2Br: single point on PBEsol structure, meta-GGA SCAN.

```
data_SiTe2Br
_symmetry_space_group_name_H-M 'I -4 2 d'
_symmetry_Int_Tables_number 122
_symmetry_space_group_name_Hall 'I -4 2bw'
_cell_length_a 7.5193
_cell_length_b 7.5193
_cell_length_c 8.4381
_cell_angle_alpha 90.00
_cell_angle_beta 90.00
_cell_angle_gamma 90.00
loop_
_atom_site_label
_atom_site_fract_x
_atom_site_fract_y
_atom_site_fract_z
Si1 0.0000 0.0000 0.0000
Te1 0.1860 0.7500 0.1250
Br1 0.0000 0.0000 0.5000
```

Properties
Size of the total moment in μB per cell: 0.00
Formation energy without anion corrections in kJ/mol of formula units: 61
Polymorph energy (0 for the lowest one) in meV per atom: 0

SiTeBr4: single point on PBEsol structure, meta-GGA SCAN.

```
data_SiTeBr4
_symmetry_space_group_name_H-M 'F -4 3 m'
_symmetry_Int_Tables_number 216
_symmetry_space_group_name_Hall 'F -4 2 3'
_cell_length_a 8.4878
_cell_length_b 8.4878
_cell_length_c 8.4878
_cell_angle_alpha 90.00
_cell_angle_beta 90.00
_cell_angle_gamma 90.00
loop_
_atom_site_label
_atom_site_fract_x
_atom_site_fract_y
_atom_site_fract_z
Si1 0.0000 0.0000 0.0000
Te1 0.2500 0.2500 0.2500
Br1 0.1247 0.1247 0.6247
```

Properties
Size of the total moment in μB per cell: 0.00
Formation energy without anion corrections in kJ/mol of formula units: 593

SiTeBr3: single point on PBEsol structure, meta-GGA SCAN.

```
data_SiTeBr3
_symmetry_space_group_name_H-M 'P m -3 m'
_symmetry_Int_Tables_number 221
_symmetry_space_group_name_Hall '-P 4 2 3'
_cell_length_a 5.1827
_cell_length_b 5.1827
_cell_length_c 5.1827
_cell_angle_alpha 90.00
_cell_angle_beta 90.00
_cell_angle_gamma 90.00
loop_
_atom_site_label
_atom_site_fract_x
_atom_site_fract_y
_atom_site_fract_z
Si1 0.0000 0.0000 0.0000
Te1 0.5000 0.5000 0.5000
Br1 0.0000 0.0000 0.5000
```

Properties
Size of the total moment in μB per cell: 2.67
Formation energy without anion corrections in kJ/mol of formula units: 56

Si2TeBr: single point on PBEsol structure, meta-GGA SCAN.

```
data_Si2TeBr
_symmetry_space_group_name_H-M 'I m m 2'
_symmetry_Int_Tables_number 44
_symmetry_space_group_name_Hall 'I 2 -2'
_cell_length_a 3.5245
_cell_length_b 4.7685
_cell_length_c 10.4038
_cell_angle_alpha 90.00
_cell_angle_beta 90.00
_cell_angle_gamma 90.00
loop_
_atom_site_label
_atom_site_fract_x
_atom_site_fract_y
_atom_site_fract_z
Si1 0.0000 0.0000 0.0000
Si2 0.0000 0.5000 0.3180
Te1 0.0000 0.5000 0.7066
Br1 0.0000 0.0000 0.4889
```

Properties
Size of the total moment in μB per cell: 0.00
Formation energy without anion corrections in kJ/mol of formula units: 216
Polymorph energy (0 for the lowest one) in meV per atom: 0